# 1
Below is a geometry-optimized Ba2Zn2Au structure, with properties calculated at the PBE-GGA level.

Structure (CIF):
```
data_Ba2Zn2Au
_cell_length_a 7.7966
_cell_length_b 7.7966
_cell_length_c 4.9565
_cell_angle_alpha 90.00
_cell_angle_beta 90.00
_cell_angle_gamma 90.00
_symmetry_space_group_name_H-M 'P 1'
_symmetry_Int_Tables_number 1
loop_
_symmetry_equiv_pos_as_xyz
'x,y,z'
loop_
_atom_site_label
_atom_site_fract_x
_atom_site_fract_y
_atom_site_fract_z
Zn1 0.3845 0.8845 0.0000
Zn2 0.8845 0.6155 0.0000
Zn3 0.6155 0.1155 0.0000
Zn4 0.1155 0.3845 0.0000
Au1 0.0000 0.0000 0.0000
Au2 0.5000 0.5000 0.0000
Ba1 0.1898 0.6898 0.5000
Ba2 0.6898 0.8102 0.5000
Ba3 0.8102 0.3102 0.5000
Ba4 0.3102 0.1898 0.5000
```

Calculated values
Distance to the lowest polymorph of the same formula, meV per atom: 152.9
Size of the total moment, Bohr magnetons per cell: 0.0
Formation energy from the elements, meV per atom: -237



# 2
Below is a geometry-optimized FeNi structure, with properties calculated at the PBE-GGA level.

Structure (CIF):
```
data_FeNi
_cell_length_a 2.5222
_cell_length_b 2.5222
_cell_length_c 4.3741
_cell_angle_alpha 73.24
_cell_angle_beta 73.24
_cell_angle_gamma 60.00
_symmetry_space_group_name_H-M 'P 1'
_symmetry_Int_Tables_number 1
loop_
_symmetry_equiv_pos_as_xyz
'x,y,z'
loop_
_atom_site_label
_atom_site_fract_x
_atom_site_fract_y
_atom_site_fract_z
Fe1 0.0000 0.0000 0.0000
Ni1 0.5000 0.5000 0.5000
```

Calculated values
Size of the total moment, Bohr magnetons per cell: 3.3
Formation energy from the elements, meV per atom: 4



# 3
Below is a geometry-optimized ScGeAs2Se structure, with properties calculated at the PBE-GGA level.

Structure (CIF):
```
data_ScGeAs2Se
_cell_length_a 5.1003
_cell_length_b 5.1003
_cell_length_c 5.1061
_cell_angle_alpha 90.00
_cell_angle_beta 90.00
_cell_angle_gamma 90.00
_symmetry_space_group_name_H-M 'P 1'
_symmetry_Int_Tables_number 1
loop_
_symmetry_equiv_pos_as_xyz
'x,y,z'
loop_
_atom_site_label
_atom_site_fract_x
_atom_site_fract_y
_atom_site_fract_z
Sc1 0.0000 0.0000 0.0000
As1 0.0000 0.5000 0.0000
As2 0.5000 0.0000 0.0000
Ge1 0.5000 0.5000 0.5000
Se1 0.0000 0.0000 0.5000
```

Calculated values
Distance to the lowest polymorph of the same formula, meV per atom: 0.0
Uncorrected formation energy, meV/atom: 185
Size of the total moment, Bohr magnetons per cell: 0.0



# 4
Below is a geometry-optimized TaOsO2 structure, with properties calculated at the PBE-GGA level.

Structure (CIF):
```
data_TaOsO2
_cell_length_a 7.0858
_cell_length_b 7.0858
_cell_length_c 7.0858
_cell_angle_alpha 22.61
_cell_angle_beta 22.61
_cell_angle_gamma 22.61
_symmetry_space_group_name_H-M 'P 1'
_symmetry_Int_Tables_number 1
loop_
_symmetry_equiv_pos_as_xyz
'x,y,z'
loop_
_atom_site_label
_atom_site_fract_x
_atom_site_fract_y
_atom_site_fract_z
Os1 0.0000 0.0000 0.0000
O1 0.9021 0.9021 0.9021
O2 0.0979 0.0979 0.0979
Ta1 0.5000 0.5000 0.5000
```

Calculated values
Distance to the lowest polymorph of the same formula, meV per atom: 0.0
Uncorrected formation energy, meV/atom: -1167
Size of the total moment, Bohr magnetons per cell: 0.0